P2IrI | PBE-GGA | relaxed

The space group is Fm-3m (No. 225) and the conventional cell measures 6.527, 6.527 and 6.527 Å, with angles of 90.00, 90.00 and 90.00 degrees. Symmetry generates all atoms from P at (0.250, 0.250, 0.250), Ir at (0.000, 0.000, 0.000) and I at (0.000, 0.000, 0.500).

The value obtained for the volume is 278 Å³/cell. The calculated density is 9.1 g/cm³. As for the offset from the most stable computed form: 924.3 meV per atom. The total energy is -4.250 eV/atom. As for the density of states at the Fermi level: 11.88 states/eV/cell. The total magnetic moment comes out at 0.00 μB/cell. For the uncorrected formation energy, the calculation gives 1.058 eV per atom.